A relaxed structure of TeBr2N, computed with PBE.

Lattice parameters (Å, degrees): 10.4330 10.4330 10.4330 18.37 18.37 18.37
Fractional positions:
Te (0.0000, 0.0000, 0.0000)
Br (0.1182, 0.1182, 0.1182)
Br (0.8818, 0.8818, 0.8818)
N (0.5000, 0.5000, 0.5000)

Summary:
Magnetic moment   0.64 μB per formula unit
DFT total energy   -9.3 eV for the cell shown

***

A relaxed structure of TeBr5N2, computed with PBE.

Lattice parameters (Å, degrees): 7.5198 7.5074 8.5702 55.30 55.16 69.54
Fractional positions:
Te (0.0000, 0.0000, 0.0000)
Br (0.1632, 0.7371, 0.8368)
Br (0.1655, 0.7398, 0.2602)
Br (0.2873, 0.2873, 0.7127)
Br (0.7371, 0.1632, 0.2629)
Br (0.7398, 0.1655, 0.8345)
N (0.1982, 0.1982, 0.3018)
N (0.6982, 0.6982, 0.8018)

Summary:
Magnetic moment   6.83 μB per formula unit
DFT total energy   -18.5 eV for the cell shown

***

A relaxed structure of TeBr2N2, computed with PBE.

Lattice parameters (Å, degrees): 9.6287 9.6287 3.2911 90.00 90.00 90.00
Fractional positions:
Te (0.0000, 0.0000, 0.0000)
Te (0.5000, 0.5000, 0.0000)
Br (0.2134, 0.2866, 0.0000)
Br (0.2866, 0.7866, 0.0000)
Br (0.7134, 0.2134, 0.0000)
Br (0.7866, 0.7134, 0.0000)
N (0.1435, 0.3565, 0.5000)
N (0.3565, 0.8565, 0.5000)
N (0.6435, 0.1435, 0.5000)
N (0.8565, 0.6435, 0.5000)

Summary:
Magnetic moment   0.00 μB per formula unit
DFT total energy   -28.7 eV for the cell shown

***

A relaxed structure of Te2BrN2, computed with PBE.

Lattice parameters (Å, degrees): 4.2375 4.2375 8.1936 90.00 90.00 90.00
Fractional positions:
Te (0.0000, 0.0000, 0.0000)
Te (0.5000, 0.5000, 0.0000)
Br (0.0000, 0.0000, 0.5000)
N (0.0000, 0.5000, 0.5000)
N (0.5000, 0.0000, 0.5000)

Summary:
Magnetic moment   3.02 μB per formula unit
DFT total energy   -14.9 eV for the cell shown

***

A relaxed structure of Te3BrN, computed with PBE.

Lattice parameters (Å, degrees): 5.5277 5.5277 5.5277 90.00 90.00 90.00
Fractional positions:
Te (0.0000, 0.0000, 0.5000)
Te (0.0000, 0.5000, 0.0000)
Te (0.5000, 0.0000, 0.0000)
Br (0.0000, 0.0000, 0.0000)
N (0.5000, 0.5000, 0.5000)

Summary:
Magnetic moment   0.00 μB per formula unit
DFT total energy   -8.7 eV for the cell shown

***

A relaxed structure of TeBr3N, computed with PBE.

Lattice parameters (Å, degrees): 4.7836 4.7836 4.7836 90.00 90.00 90.00
Fractional positions:
Te (0.0000, 0.0000, 0.0000)
Br (0.0000, 0.5000, 0.5000)
Br (0.5000, 0.0000, 0.5000)
Br (0.5000, 0.5000, 0.0000)
N (0.5000, 0.5000, 0.5000)

Summary:
Magnetic moment   0.00 μB per formula unit
DFT total energy   -11.2 eV for the cell shown

***

A relaxed structure of Te2Br3N2, computed with PBE.

Lattice parameters (Å, degrees): 3.0960 6.8403 12.9090 103.40 95.83 90.77
Fractional positions:
Te (0.1106, 0.2777, 0.2413)
Te (0.8894, 0.7223, 0.7587)
Br (0.1683, 0.6649, 0.3498)
Br (0.5000, 0.0000, 0.0000)
Br (0.8317, 0.3351, 0.6502)
N (0.3610, 0.8153, 0.6851)
N (0.6390, 0.1847, 0.3149)

Summary:
Magnetic moment   0.00 μB per formula unit
DFT total energy   -24.2 eV for the cell shown

***

A relaxed structure of TeBr3N, computed with PBE.

Lattice parameters (Å, degrees): 5.5995 5.5995 5.5995 90.00 90.00 90.00
Fractional positions:
Te (0.0000, 0.0000, 0.0000)
Br (0.0000, 0.0000, 0.5000)
Br (0.0000, 0.5000, 0.0000)
Br (0.5000, 0.0000, 0.0000)
N (0.5000, 0.5000, 0.5000)

Summary:
Magnetic moment   2.99 μB per formula unit
DFT total energy   -12.3 eV for the cell shown